# 1
Density functional theory data (PBE) for a relaxed AcNd2Ni crystal.

Lattice parameters (Å, degrees): 6.673 6.673 7.710 90.00 90.00 135.05
Fractional positions:
Ac1 0.037 0.963 0.750
Ac2 0.963 0.037 0.250
Nd1 0.344 0.656 0.530
Nd2 0.344 0.656 0.970
Nd3 0.656 0.344 0.030
Nd4 0.656 0.344 0.470
Ni1 0.200 0.800 0.250
Ni2 0.800 0.200 0.750

E_form = -12.9 kJ per mole of atoms
E_tot = -4.9901 eV/atom
DOS(E_F) = 3.74 states/eV/f.u.


# 2
Density functional theory data (PBE) for a relaxed ScSb2P crystal.

Lattice parameters (Å, degrees): 7.566 7.566 7.566 153.43 149.24 41.09
Fractional positions:
Sc1 0.000 0.000 0.000
Sb1 0.299 0.799 0.500
Sb2 0.603 0.603 0.000
P1 0.863 0.363 0.500

Energy relative to the elements, uncorrected = -304 meV/atom
E_tot = -5.3007 eV/atom
DOS(E_F) = 1.73 states/eV/f.u.


# 3
Density functional theory data (PBE) for a relaxed LaLu2Sb crystal.

Lattice parameters (Å, degrees): 4.837 4.837 4.800 90.00 90.00 90.00
Fractional positions:
La1 0.000 0.000 0.000
Lu1 0.000 0.500 0.500
Lu2 0.500 0.000 0.500
Sb1 0.500 0.500 0.000

Energy relative to the elements, uncorrected = -458 meV/atom
E_tot = -4.9812 eV/atom
DOS(E_F) = 6.05 states/eV/f.u.


# 4
Density functional theory data (PBE) for a relaxed KLiLa2Sc crystal.

Lattice parameters (Å, degrees): 6.050 6.050 4.425 90.00 90.00 90.00
Fractional positions:
K1 0.000 0.000 0.000
Li1 0.000 0.000 0.500
La1 0.000 0.500 0.000
La2 0.500 0.000 0.000
Sc1 0.500 0.500 0.500

E_form = 90.5 kJ per mole of atoms
E_tot = -2.9021 eV/atom
DOS(E_F) = 6.41 states/eV/f.u.


# 5
Density functional theory data (PBE) for a relaxed Zr3SnH2 crystal.

Lattice parameters (Å, degrees): 9.198 9.198 7.586 103.69 103.69 19.72
Fractional positions:
Zr1 0.063 0.063 0.185
Zr2 0.265 0.265 0.807
Zr3 0.408 0.408 0.152
Zr4 0.592 0.592 0.848
Zr5 0.735 0.735 0.193
Zr6 0.937 0.937 0.815
Sn1 0.347 0.347 0.492
Sn2 0.653 0.653 0.508
H1 0.030 0.030 0.701
H2 0.287 0.287 0.084
H3 0.713 0.713 0.916
H4 0.970 0.970 0.299

E_tot = -6.2973 eV/atom
DOS(E_F) = 3.89 states/eV/f.u.


# 6
Density functional theory data (PBE) for a relaxed In2SnSb crystal.

Lattice parameters (Å, degrees): 4.025 4.025 6.813 90.00 90.00 90.00
Fractional positions:
In1 0.000 0.000 0.241
In2 0.000 0.000 0.759
Sn1 0.500 0.500 0.500
Sb1 0.500 0.500 0.000

Energy relative to the elements, uncorrected = 56 meV/atom
E_tot = -3.3441 eV/atom
DOS(E_F) = 1.67 states/eV/f.u.


# 7
Density functional theory data (PBE) for a relaxed HoAg2F8 crystal.

Lattice parameters (Å, degrees): 6.981 6.981 4.196 90.00 90.00 120.00
Fractional positions:
Ho1 0.000 0.000 0.000
Ag1 0.333 0.667 0.739
Ag2 0.667 0.333 0.261
F1 0.154 0.311 0.738
F2 0.156 0.846 0.738
F3 0.311 0.156 0.262
F4 0.333 0.667 0.239
F5 0.667 0.333 0.761
F6 0.689 0.844 0.738
F7 0.844 0.154 0.262
F8 0.846 0.689 0.262

Energy relative to the elements, uncorrected = -2015 meV/atom
E_tot = -4.3108 eV/atom
DOS(E_F) = 13.48 states/eV/f.u.


# 8
Density functional theory data (PBE) for a relaxed La3Ho8Er2 crystal.

Lattice parameters (Å, degrees): 10.755 10.755 5.636 90.03 90.03 42.24
Fractional positions:
La1 0.000 0.000 0.000
La2 0.299 0.701 0.500
La3 0.701 0.299 0.500
Ho1 0.137 0.137 0.500
Ho2 0.182 0.597 0.000
Ho3 0.326 0.326 0.499
Ho4 0.403 0.818 0.000
Ho5 0.597 0.182 0.000
Ho6 0.674 0.674 0.501
Ho7 0.818 0.403 0.000
Ho8 0.863 0.863 0.500
Er1 0.241 0.241 0.999
Er2 0.759 0.759 0.001

E_form = 24.3 kJ per mole of atoms
E_tot = -4.4040 eV/atom
DOS(E_F) = 21.38 states/eV/f.u.


# 9
Density functional theory data (PBE) for a relaxed KB crystal.

Lattice parameters (Å, degrees): 5.510 5.510 6.324 90.00 90.00 120.00
Fractional positions:
K1 0.333 0.667 0.250
K2 0.667 0.333 0.750
B1 0.333 0.667 0.750
B2 0.667 0.333 0.250

E_form = 211.0 kJ per mole of atoms
E_tot = -1.7004 eV/atom
DOS(E_F) = 2.38 states/eV/f.u.


# 10
Density functional theory data (PBE) for a relaxed LiTc2Ge crystal.

Lattice parameters (Å, degrees): 5.608 5.608 5.608 101.25 101.25 127.57
Fractional positions:
Li1 0.000 0.000 0.000
Li2 0.750 0.250 0.500
Tc1 0.159 0.625 0.034
Tc2 0.375 0.409 0.534
Tc3 0.591 0.125 0.966
Tc4 0.875 0.841 0.466
Ge1 0.250 0.750 0.500
Ge2 0.500 0.500 0.000

E_form = 43.9 kJ per mole of atoms
E_tot = -6.3606 eV/atom
DOS(E_F) = 3.65 states/eV/f.u.


# 11
Density functional theory data (PBE) for a relaxed Rb2SnRuBr6 crystal.

Lattice parameters (Å, degrees): 7.707 7.707 7.707 60.00 60.00 60.00
Fractional positions:
Rb1 0.250 0.250 0.250
Rb2 0.750 0.750 0.750
Sn1 0.000 0.000 0.000
Ru1 0.500 0.500 0.500
Br1 0.266 0.266 0.734
Br2 0.266 0.734 0.266
Br3 0.266 0.734 0.734
Br4 0.734 0.266 0.266
Br5 0.734 0.266 0.734
Br6 0.734 0.734 0.266

Energy relative to the elements, uncorrected = -888 meV/atom
E_tot = -3.4134 eV/atom
DOS(E_F) = 0.00 states/eV/f.u.


# 12
Density functional theory data (PBE) for a relaxed Co2CuHg crystal.

Lattice parameters (Å, degrees): 4.670 4.670 4.521 102.19 102.19 35.59
Fractional positions:
Co1 0.244 0.244 0.214
Co2 0.756 0.756 0.786
Cu1 0.500 0.500 0.000
Hg1 0.000 0.000 0.500

E_form = 38.4 kJ per mole of atoms
E_tot = -4.2543 eV/atom
DOS(E_F) = 4.84 states/eV/f.u.


| no. | total magnetic moment (Bohr magnetons per cell) | calculated density (kg/m³) |
| --- | --- | --- |
| 1 | 0.0 | 7861 |
| 2 | 0.0 | 5366 |
| 3 | 0.0 | 9029 |
| 4 | 0.0 | 3781 |
| 5 | 0.0 | 6232 |
| 6 | 0.0 | 7072 |
| 7 | 1.1 | 4994 |
| 8 | 0.0 | 7845 |
| 9 | 4.0 | 997 |
| 10 | 0.0 | 7297 |
| 11 | 0.0 | 4464 |
| 12 | 3.2 | 11339 |